# 1
The following is a PBE calculation of a geometry-optimized RbIN2Cl structure, from the Alexandria database.

Its total energy is -12.17 eV per formula unit. For the density, the calculation gives 1.991 g/cm³.

The space group is P4/mmm (No. 123) and the conventional cell measures 5.738, 5.738 and 6.987 Å, with angles of 90.00, 90.00 and 90.00 degrees. Symmetry generates all atoms from Rb at (0.000, 0.000, 0.000), I at (0.000, 0.000, 0.500), N at (0.000, 0.500, 0.000) and Cl at (0.500, 0.500, 0.500).

***

# 2
The following is a PBE calculation of a geometry-optimized RbI2NCl structure, from the Alexandria database.

Its total energy is -12.35 eV per formula unit. For the density, the calculation gives 3.555 g/cm³.

The space group is P4/mmm (No. 123) and the conventional cell measures 7.245, 7.245 and 3.459 Å, with angles of 90.00, 90.00 and 90.00 degrees. Symmetry generates all atoms from Rb at (0.000, 0.000, 0.000), I at (0.000, 0.500, 0.500), N at (0.500, 0.500, 0.000) and Cl at (0.500, 0.500, 0.500).

***

# 3
The following is a PBE calculation of a geometry-optimized Rb2INCl6 structure, from the Alexandria database.

Its total energy is -26.63 eV per formula unit. For the density, the calculation gives 3.238 g/cm³.

The space group is I4/mmm (No. 139) and the conventional cell measures 7.333, 7.333 and 10.005 Å, with angles of 90.00, 90.00 and 90.00 degrees. Symmetry generates all atoms from Rb at (0.000, 0.500, 0.250), I at (0.000, 0.000, 0.000), N at (0.000, 0.000, 0.500), Cl at (0.000, 0.000, 0.267) and Cl at (0.224, 0.224, 0.500).

***

# 4
The following is a PBE calculation of a geometry-optimized Rb2INCl structure, from the Alexandria database.

Its total energy is -12.72 eV per formula unit. For the density, the calculation gives 1.931 g/cm³.

The space group is P4/mmm (No. 123) and the conventional cell measures 6.941, 6.941 and 6.200 Å, with angles of 90.00, 90.00 and 90.00 degrees. Symmetry generates all atoms from Rb at (0.000, 0.500, 0.000), I at (0.000, 0.000, 0.000), N at (0.500, 0.500, 0.500) and Cl at (0.000, 0.000, 0.500).